The following is a DFT calculation (GGA-PBE) of a geometry-optimized Co2Sb2Rh structure.

Values from the calculation:
theoretical density = 9.8 Mg/m³
DFT total energy = -5.890 eV per atom
energy relative to the elements, uncorrected = 0.4 eV/f.u.

```
data_Co2Sb2Rh
_chemical_formula_sum 'Co4 Sb4 Rh2'
_cell_length_a 7.118
_cell_length_b 7.118
_cell_length_c 3.116
_cell_angle_alpha 90.00
_cell_angle_beta 90.00
_cell_angle_gamma 90.00
_symmetry_space_group_name_H-M 'P 4/m b m'
_symmetry_Int_Tables_number 127
_symmetry_space_group_name_Hall '-P 4 2ab'
loop_
_atom_site_label
_atom_site_fract_x
_atom_site_fract_y
_atom_site_fract_z
Co1 0.132 0.368 0.000
Sb1 0.161 0.661 0.500
Rh1 0.000 0.000 0.500
```